## FePdSeBr2 (GGA-PBE)

Data for FePdSeBr2 after structural relaxation.

abc: 5.058 5.058 5.049
angles: 90.00 90.00 90.00
Positions (direct):
Fe  0.000  0.000  0.000
Pd  0.500  0.500  0.500
Se  0.500  0.500  0.000
Br  0.000  0.500  0.500
Br  0.500  0.000  0.500

Output
Energy above the most stable polymorph in this dataset = 0.0653 eV/atom
Electronic total energy = -17.79 eV per formula unit
E_form (uncorrected) = 260 kJ/mol of formula units
DOS at the Fermi energy = 1.12 states/eV/atom
SG = P4/mmm (123)
M_tot = 4.0 μB per cell
Volume = 25.8 Å³/atom

## BaCr2Se (GGA-PBE)

Data for BaCr2Se after structural relaxation.

abc: 4.335 4.335 18.259
angles: 90.00 90.00 120.00
Positions (direct):
Ba  0.000  0.000  0.000
Ba  0.333  0.667  0.667
Ba  0.667  0.333  0.333
Cr  0.000  0.000  0.200
Cr  0.000  0.000  0.526
Cr  0.333  0.667  0.193
Cr  0.333  0.667  0.866
Cr  0.667  0.333  0.533
Cr  0.667  0.333  0.859
Se  0.000  0.000  0.799
Se  0.333  0.667  0.466
Se  0.667  0.333  0.133

Output
Electronic total energy = -25.36 eV per formula unit
E_form (uncorrected) = -68 kJ/mol of formula units
SG = R3m (160)
M_tot = 0.0 μB per cell
Volume = 24.8 Å³/atom